[1]
The following is a PBE calculation of a geometry-optimized Ca4ThAu5 structure, from Alexandria.

Properties
E_form	-740	meV/atom
Fermi-level density of states	8.77	states/eV/f.u.
calculated total energy	-39.22	eV per cell

The structure in POSCAR format:
```
Ca4ThAu5
1.0
3.6357 0.0000 0.0000
0.0000 3.6357 0.0000
0.0000 0.0000 18.5578
Ca Th Au
4 1 5
Direct
0.0000 0.0000 0.0975
0.0000 0.0000 0.2943
0.0000 0.0000 0.7057
0.0000 0.0000 0.9025
0.0000 0.0000 0.5000
0.5000 0.5000 0.0000
0.5000 0.5000 0.1958
0.5000 0.5000 0.3984
0.5000 0.5000 0.6016
0.5000 0.5000 0.8042
```


[2]
The following is a PBE calculation of a geometry-optimized CaThAu4 structure, from Alexandria.

Properties
E_form	-688	meV/atom
Fermi-level density of states	3.66	states/eV/f.u.
ΔE to the lowest computed polymorph	0.000	eV/atom
calculated total energy	-26.66	eV per cell

The structure in POSCAR format:
```
CaThAu4
1.0
4.8153 0.0000 0.0000
2.3846 5.4175 0.0000
2.4015 0.6297 5.3762
Ca Th Au
1 1 4
Direct
0.0000 0.0000 0.0000
0.9703 0.5304 0.5304
0.3150 0.9322 0.4362
0.3164 0.4367 0.9319
0.6548 0.1286 0.5616
0.6568 0.5611 0.1292
```


[3]
The following is a PBE calculation of a geometry-optimized Ca5ThAu6 structure, from Alexandria.

Properties
E_form	-760	meV/atom
Fermi-level density of states	7.93	states/eV/f.u.
calculated total energy	-46.21	eV per cell

The structure in POSCAR format:
```
Ca5ThAu6
1.0
5.1788 0.0000 0.0000
0.0000 7.3362 0.0000
-2.5824 0.0000 7.7672
Ca Th Au
5 1 6
Direct
0.0000 0.0000 0.0000
0.3278 0.5000 0.6560
0.3336 0.0000 0.6680
0.6664 0.0000 0.3320
0.6722 0.5000 0.3440
0.0000 0.5000 0.0000
0.1615 0.2512 0.3221
0.1615 0.7488 0.3221
0.5000 0.2682 0.0000
0.5000 0.7318 0.0000
0.8385 0.2512 0.6779
0.8385 0.7488 0.6779
```


[4]
The following is a PBE calculation of a geometry-optimized CaTh2Au3 structure, from Alexandria.

Properties
E_form	-642	meV/atom
Fermi-level density of states	4.20	states/eV/f.u.
calculated total energy	-61.05	eV per cell

The structure in POSCAR format:
```
CaTh2Au3
1.0
5.2979 0.0000 0.0000
0.0000 16.1795 0.0000
0.0000 0.0000 3.5471
Ca Th Au
2 4 6
Direct
0.2500 0.2500 0.0024
0.7500 0.7500 0.9976
0.2500 0.5878 0.9984
0.2500 0.9122 0.9984
0.7500 0.0878 0.0016
0.7500 0.4122 0.0016
0.2500 0.0808 0.5026
0.2500 0.4192 0.5026
0.2500 0.7500 0.4981
0.7500 0.2500 0.5019
0.7500 0.5808 0.4974
0.7500 0.9192 0.4974
```


[5]
The following is a PBE calculation of a geometry-optimized CaThZnAu structure, from Alexandria.

Properties
E_form	-424	meV/atom
Fermi-level density of states	3.54	states/eV/f.u.
calculated total energy	-15.67	eV per cell

The structure in POSCAR format:
```
CaThZnAu
1.0
0.0000 3.6724 3.6724
3.6724 0.0000 3.6724
3.6724 3.6724 0.0000
Ca Th Zn Au
1 1 1 1
Direct
0.0000 0.0000 0.0000
0.5000 0.5000 0.5000
0.7500 0.7500 0.7500
0.2500 0.2500 0.2500
```


[6]
The following is a PBE calculation of a geometry-optimized CaTi3Au structure, from Alexandria.

Properties
E_form	582	meV/atom
Fermi-level density of states	5.30	states/eV/f.u.
ΔE to the lowest computed polymorph	0.000	eV/atom
calculated total energy	-26.05	eV per cell

The structure in POSCAR format:
```
CaTi3Au
1.0
5.0116 0.0000 0.0000
0.0000 5.0116 0.0000
0.0000 0.0000 5.0116
Ca Ti Au
1 3 1
Direct
0.0000 0.0000 0.0000
0.0000 0.5000 0.5000
0.5000 0.0000 0.5000
0.5000 0.5000 0.0000
0.5000 0.5000 0.5000
```